#w
## K2MgB (SCAN)

Data for K2MgB at its PBEsol-relaxed geometry.

Properties
magnetization	2.1	μB/cell
calculated volume	321	Å³/cell

Lattice parameters (Å, degrees): 4.5278 8.7144 8.7144 86.13 74.94 74.94
Each line ends with the local moment (μB).
Fractional positions:
K  0.8750  0.8178  0.6822  0.02
K  0.3750  0.1822  0.3178  0.02
K  0.4428  0.6822  0.1822  0.02
K  0.3072  0.3178  0.8178  0.02
B  0.5000  0.0000  0.0000  0.33
B  0.2500  0.5000  0.5000  0.33
Mg  0.0000  0.0000  0.0000  0.00
Mg  0.7500  0.5000  0.5000  0.00

#x
## K2MgB (SCAN)

Data for K2MgB at its PBEsol-relaxed geometry.

Properties
magnetization	2.1	μB/cell
calculated volume	123	Å³/cell

Lattice parameters (Å, degrees): 5.5855 5.5855 5.5855 60.00 60.00 60.00
Each line ends with the local moment (μB).
Fractional positions:
K  0.2500  0.2500  0.2500  0.03
K  0.7500  0.7500  0.7500  0.03
B  0.0000  0.0000  0.0000  0.57
Mg  0.5000  0.5000  0.5000  0.01

#w is the most stable structure; the next one sits 0.464 eV/atom above it.

#w
## KBP2S (SCAN)

Data for KBP2S at its PBEsol-relaxed geometry.

Properties
magnetization	0.0	μB/cell
calculated volume	84	Å³/cell

Lattice parameters (Å, degrees): 4.1734 4.1734 4.8470 90.00 90.00 90.00
Fractional positions:
P  0.0000  0.5000  0.0000
P  0.5000  0.0000  0.0000
K  0.5000  0.5000  0.5000
B  0.0000  0.0000  0.0000
S  0.0000  0.0000  0.5000

#x
## KBP2S (SCAN)

Data for KBP2S at its PBEsol-relaxed geometry.

Properties
magnetization	1.8	μB/cell
calculated volume	138	Å³/cell

Lattice parameters (Å, degrees): 5.1966 5.1606 5.1606 90.00 90.00 90.00
Each line ends with the local moment (μB).
Fractional positions:
P  0.0000  0.0000  0.5000  -0.44
P  0.0000  0.5000  0.0000  -0.44
K  0.0000  0.0000  0.0000  -0.04
B  0.5000  0.5000  0.5000  0.02
S  0.5000  0.0000  0.0000  0.04

#w is the most stable structure; the next one sits 2.059 eV/atom above it.

#w
## KTl3B (SCAN)

Data for KTl3B at its PBEsol-relaxed geometry.

Properties
magnetization	0.0	μB/cell
calculated volume	133	Å³/cell

Lattice parameters (Å, degrees): 5.1102 5.1102 5.1102 90.00 90.00 90.00
Fractional positions:
Tl  0.0000  0.5000  0.0000
Tl  0.0000  0.0000  0.5000
Tl  0.5000  0.0000  0.0000
B  0.0000  0.0000  0.0000
K  0.5000  0.5000  0.5000

#x
## KTl3B (SCAN)

Data for KTl3B at its PBEsol-relaxed geometry.

Properties
magnetization	0.0	μB/cell
calculated volume	210	Å³/cell

Lattice parameters (Å, degrees): 5.9395 5.9395 5.9395 90.00 90.00 90.00
Fractional positions:
Tl  0.0000  0.5000  0.0000
Tl  0.5000  0.0000  0.0000
Tl  0.0000  0.0000  0.5000
B  0.5000  0.5000  0.5000
K  0.0000  0.0000  0.0000

#w is the most stable structure; the next one sits 1.190 eV/atom above it.